Entry 1:
GdScNi4: relaxed, GGA-PBE.

Summary:
- SG = No. 216
- calculated total energy (eV per atom) = -7.709

Cell and atoms, written as POSCAR:
```
GdScNi4
1.0
-2.794 3.833 -1.565
-4.600 -0.819 -1.765
-3.984 1.433 2.651
Ni Gd Sc
4 1 1
direct
0.624 0.127 0.624 Ni
0.624 0.624 0.624 Ni
0.624 0.624 0.127 Ni
0.127 0.624 0.624 Ni
0.000 0.000 0.000 Gd
0.250 0.250 0.250 Sc
```

***

Entry 2:
GdScNi2: relaxed, GGA-PBE.

Summary:
- SG = No. 123
- energy above the lowest structure with this stoichiometry (eV/f.u.) = 0.000
- calculated total energy (eV per atom) = -8.390

Cell and atoms, written as POSCAR:
```
GdScNi2
1.0
3.264 0.000 0.000
0.000 3.264 0.000
0.000 0.000 6.683
Gd Ni Sc
1 2 1
direct
0.500 0.500 0.500 Gd
0.000 0.000 0.219 Ni
0.000 0.000 0.781 Ni
0.500 0.500 0.000 Sc
```

***

Entry 3:
GdScTcNi: relaxed, GGA-PBE.

Summary:
- SG = No. 216
- calculated total energy (eV per atom) = -9.307

Cell and atoms, written as POSCAR:
```
GdScTcNi
1.0
4.686 0.000 0.000
2.343 4.058 0.000
2.343 1.353 3.826
Ni Gd Tc Sc
1 1 1 1
direct
0.750 0.750 0.750 Ni
0.000 0.000 0.000 Gd
0.250 0.250 0.250 Tc
0.500 0.500 0.500 Sc
```

***

Entry 4:
GdScTlNi: relaxed, GGA-PBE.

Summary:
- SG = No. 216
- calculated total energy (eV per atom) = -7.361

Cell and atoms, written as POSCAR:
```
GdScTlNi
1.0
5.008 0.000 0.000
2.504 4.337 0.000
2.504 1.446 4.089
Sc Tl Gd Ni
1 1 1 1
direct
0.500 0.500 0.500 Sc
0.750 0.750 0.750 Tl
0.000 0.000 0.000 Gd
0.250 0.250 0.250 Ni
```

***

The records above yield ΔE_f values of -453; -396; -167; -221 meV/atom, respectively.